Density functional theory data (PBE) for an optimized crystal structure of AcAgHgTe.

Results
E_form (uncorrected) = -0.50 eV/atom
V = 29.16 A^3/atom
Density of states at the Fermi level = 1.04 states/eV/atom
Mass density = 9.44 Mg/m³

Unit cell a=7.756 b=7.756 c=7.756 alpha=90.00 beta=90.00 gamma=90.00
Space group F-43m (No. 216)
Inequivalent atoms, fractional coordinates:
Ac: 0.000 0.000 0.000 [4 per cell]
Ag: 0.000 0.000 0.500 [4 per cell]
Hg: 0.250 0.250 0.250 [4 per cell]
Te: 0.250 0.250 0.750 [4 per cell]

Density functional theory data (PBE) for an optimized crystal structure of LiNdMgSi.

Results
E_form (uncorrected) = -0.25 eV/atom
V = 20.51 A^3/atom
Density of states at the Fermi level = 0.32 states/eV/atom
Mass density = 4.12 Mg/m³

Unit cell a=6.898 b=6.898 c=6.898 alpha=90.00 beta=90.00 gamma=90.00
Space group F-43m (No. 216)
Inequivalent atoms, fractional coordinates:
Li: 0.000 0.000 0.000 [4 per cell]
Nd: 0.250 0.250 0.750 [4 per cell]
Mg: 0.250 0.250 0.250 [4 per cell]
Si: 0.000 0.000 0.500 [4 per cell]

Density functional theory data (PBE) for an optimized crystal structure of Mg6CuSnO8.

Results
E above lowest polymorph = 21 meV/atom
E_form (uncorrected) = -2.11 eV/atom
V = 10.69 A^3/atom
Density of states at the Fermi level = 0.17 states/eV/atom
Mass density = 4.43 Mg/m³

Unit cell a=4.398 b=4.398 c=8.845 alpha=90.00 beta=90.00 gamma=90.00
Space group P4/mmm (No. 123)
Inequivalent atoms, fractional coordinates:
Mg: 0.000 0.000 0.000 [1 per cell]
Mg: 0.000 0.000 0.500 [1 per cell]
Mg: 0.000 0.500 0.231 [4 per cell]
Cu: 0.500 0.500 0.000 [1 per cell]
Sn: 0.500 0.500 0.500 [1 per cell]
O: 0.000 0.000 0.250 [2 per cell]
O: 0.000 0.500 0.000 [2 per cell]
O: 0.000 0.500 0.500 [2 per cell]
O: 0.500 0.500 0.247 [2 per cell]

Density functional theory data (PBE) for an optimized crystal structure of SrBeRh2.

Results
V = 19.77 A^3/atom
Density of states at the Fermi level = 0.86 states/eV/atom
Formation energy = -0.127 eV per atom
Mass density = 6.35 Mg/m³

Unit cell a=4.006 b=4.006 c=4.927 alpha=90.00 beta=90.00 gamma=90.00
Space group P4mm (No. 99)
Inequivalent atoms, fractional coordinates:
Sr: 0.000 0.000 0.000 [1 per cell]
Be: 0.500 0.500 0.325 [1 per cell]
Rh: 0.000 0.500 0.501 [2 per cell]